CaIr | PBE | optimized geometry

Cell: 4.5224 4.5224 14.9872 Å, 90.00 90.00 120.00°
Atoms (fractional coordinates):
Ir: 0.3333 0.6667 0.4958
Ir: 0.6667 0.3333 0.1624
Ir: 0.0000 0.0000 0.1709
Ir: 0.3333 0.6667 0.8376
Ir: 0.0000 0.0000 0.8291
Ir: 0.6667 0.3333 0.5042
Ca: 0.6667 0.3333 0.9385
Ca: 0.6667 0.3333 0.7281
Ca: 0.3333 0.6667 0.0615
Ca: 0.0000 0.0000 0.3948
Ca: 0.3333 0.6667 0.2719
Ca: 0.0000 0.0000 0.6052

Output
total moment	0.0	μB/cell
energy	-5.71	eV per atom
calculated formation energy	-0.55	eV per formula unit
crystal system	trigonal
ρ	8.72	g cm⁻³


BaSrGaN2 | PBE | optimized geometry

Cell: 5.7278 6.0832 7.2860 Å, 90.01 90.00 90.00°
Atoms (fractional coordinates):
Ba: 0.0003 0.5000 0.7500
Ba: 0.9997 0.5000 0.2500
Ga: 0.0000 0.0000 0.5000
Ga: 0.0000 0.0000 0.0000
Sr: 0.4999 0.0000 0.2500
Sr: 0.5001 0.0000 0.7500
N: 0.7689 0.2039 0.5001
N: 0.2311 0.2039 0.0001
N: 0.7689 0.7961 0.9999
N: 0.2311 0.7961 0.4999

Output
total moment	0.1	μB/cell
energy	-4.97	eV per atom
crystal system	orthorhombic
formation energy without anion corrections	-0.318	eV per atom
ρ	4.22	g cm⁻³


K2YNi | PBE | optimized geometry

Cell: 5.5593 5.5593 5.5593 Å, 119.84 119.84 90.28°
Atoms (fractional coordinates):
Ni: 0.5000 0.5000 0.0000
K: 0.2500 0.7500 0.5000
K: 0.0000 0.0000 0.0000
Y: 0.7500 0.2500 0.5000

Output
total moment	0.0	μB/cell
energy	-2.87	eV per atom
calculated formation energy	2.98	eV per formula unit
energy above the lowest structure with this stoichiometry	583	meV per atom
crystal system	tetragonal
ρ	3.08	g cm⁻³


SrLaY2Ni | PBE | optimized geometry

Cell: 5.5987 5.5987 5.3982 Å, 90.00 90.00 90.00°
Atoms (fractional coordinates):
Y: 0.5000 0.0000 0.0000
Y: 0.0000 0.5000 0.0000
Ni: 0.0000 0.0000 0.0000
La: 0.0000 0.0000 0.5000
Sr: 0.5000 0.5000 0.5000

Output
total moment	0.0	μB/cell
energy	-5.12	eV per atom
calculated formation energy	-0.30	eV per formula unit
crystal system	tetragonal
ρ	4.54	g cm⁻³


InPBrCl2 | PBE | optimized geometry

Cell: 6.0388 6.0388 4.6665 Å, 90.00 90.00 90.00°
Last column: magnetic moment on the atom in μB.
Atoms (fractional coordinates):
Br: 0.0000 0.0000 0.0000  -0.03
In: 0.5000 0.5000 0.5000  0.00
P: 0.0000 0.0000 0.5000  0.27
Cl: 0.0000 0.5000 0.0000  0.00
Cl: 0.5000 0.0000 0.0000  0.00

Output
total moment	0.6	μB/cell
energy	-2.35	eV per atom
energy above the lowest structure with this stoichiometry	301	meV per atom
crystal system	tetragonal
formation energy without anion corrections	0.350	eV per atom
ρ	2.89	g cm⁻³


CdCu2BIr | PBE | optimized geometry

Cell: 4.0876 4.0876 4.0861 Å, 90.00 90.00 90.00°
Atoms (fractional coordinates):
Cu: 0.0000 0.5000 0.0000
Cu: 0.5000 0.0000 0.0000
B: 0.0000 0.0000 0.0000
Cd: 0.5000 0.5000 0.5000
Ir: 0.0000 0.0000 0.5000

Output
total moment	0.0	μB/cell
energy	-4.88	eV per atom
calculated formation energy	0.25	eV per formula unit
energy above the lowest structure with this stoichiometry	0	meV per atom
crystal system	tetragonal
ρ	10.76	g cm⁻³


CeH6PdRh | PBE | optimized geometry

Cell: 4.7852 4.7853 4.2063 Å, 90.00 90.00 59.99°
Last column: magnetic moment on the atom in μB.
Atoms (fractional coordinates):
H: 0.0168 0.4911 0.2309  0.00
H: 0.4911 0.4920 0.2309  0.00
H: 0.4919 0.4912 0.7691  0.00
H: 0.4911 0.0169 0.7691  0.00
H: 0.0168 0.4920 0.7691  0.00
H: 0.4919 0.0169 0.2309  0.00
Rh: 0.3334 0.3334 0.5000  -0.06
Pd: 0.6667 0.6667 0.5000  -0.04
Ce: 0.0000 0.0000 0.0000  0.58

Output
total moment	0.5	μB/cell
energy	-4.62	eV per atom
crystal system	hexagonal
ρ	7.08	g cm⁻³


BaSi2P | PBE | optimized geometry

Cell: 3.6033 3.6033 6.7640 Å, 90.00 90.00 90.00°
Atoms (fractional coordinates):
Si: 0.0000 0.0000 0.5827
Si: 0.0000 0.0000 0.9173
Ba: 0.5000 0.5000 0.2500
P: 0.5000 0.5000 0.7500

Output
total moment	0.0	μB/cell
energy	-4.49	eV per atom
crystal system	tetragonal
formation energy without anion corrections	0.057	eV per atom
ρ	4.24	g cm⁻³


Al2GePt2 | PBE | optimized geometry

Cell: 3.8013 3.8013 6.5755 Å, 73.20 73.20 90.00°
Atoms (fractional coordinates):
Al: 0.2500 0.7500 0.5000
Al: 0.7500 0.2500 0.5000
Ge: 0.0000 0.0000 0.0000
Pt: 0.3847 0.3847 0.2307
Pt: 0.6153 0.6153 0.7693

Output
total moment	0.0	μB/cell
energy	-5.42	eV per atom
calculated formation energy	-2.90	eV per formula unit
energy above the lowest structure with this stoichiometry	117	meV per atom
crystal system	tetragonal
ρ	9.90	g cm⁻³


CeHgBi2 | PBE | optimized geometry

Cell: 5.3120 5.3120 5.7985 Å, 62.74 62.74 60.00°
Last column: magnetic moment on the atom in μB.
Atoms (fractional coordinates):
Bi: 0.7349 0.7349 0.7953  0.02
Bi: 0.2651 0.2651 0.2047  0.02
Hg: 0.0000 0.0000 0.0000  0.00
Ce: 0.5000 0.5000 0.5000  0.77

Output
total moment	0.9	μB/cell
energy	-3.70	eV per atom
calculated formation energy	-0.78	eV per formula unit
energy above the lowest structure with this stoichiometry	265	meV per atom
crystal system	trigonal
ρ	10.48	g cm⁻³


P2OsRu | PBE | optimized geometry

Cell: 3.1675 3.7537 5.5703 Å, 89.42 89.98 64.94°
Atoms (fractional coordinates):
Os: 0.6613 0.2292 0.1039
P: 0.4218 0.7065 0.4128
P: 0.9745 0.6021 0.9193
Ru: 0.7432 0.0624 0.6005

Output
total moment	0.0	μB/cell
energy	-8.04	eV per atom
calculated formation energy	-0.83	eV per formula unit
energy above the lowest structure with this stoichiometry	139	meV per atom
crystal system	monoclinic
ρ	9.78	g cm⁻³


BeInN2O | PBE | optimized geometry

Cell: 4.1938 4.1938 4.1331 Å, 90.00 90.00 90.00°
Last column: magnetic moment on the atom in μB.
Atoms (fractional coordinates):
Be: 0.5000 0.5000 0.5000  -0.14
N: 0.5000 0.0000 0.0000  0.97
N: 0.0000 0.5000 0.0000  0.97
O: 0.0000 0.0000 0.5000  0.41
In: 0.0000 0.0000 0.0000  0.04

Output
total moment	2.9	μB/cell
energy	-3.99	eV per atom
crystal system	tetragonal
formation energy without anion corrections	1.623	eV per atom
ρ	3.83	g cm⁻³


Tm4Pd15Pb | PBE | optimized geometry

Cell: 4.1001 4.1001 20.4548 Å, 90.00 90.00 90.00°
Atoms (fractional coordinates):
Tm: 0.0000 0.0000 0.2016
Tm: 0.0000 0.0000 0.5995
Tm: 0.0000 0.0000 0.4005
Tm: 0.0000 0.0000 0.7984
Pd: 0.5000 0.0000 0.1006
Pd: 0.5000 0.5000 0.1997
Pd: 0.5000 0.5000 0.8003
Pd: 0.5000 0.0000 0.8994
Pd: 0.5000 0.5000 0.0000
Pd: 0.5000 0.5000 0.6004
Pd: 0.0000 0.5000 0.3004
Pd: 0.5000 0.0000 0.6996
Pd: 0.0000 0.5000 0.6996
Pd: 0.5000 0.0000 0.5000
Pd: 0.0000 0.5000 0.8994
Pd: 0.5000 0.0000 0.3004
Pd: 0.0000 0.5000 0.1006
Pd: 0.5000 0.5000 0.3996
Pd: 0.0000 0.5000 0.5000
Pb: 0.0000 0.0000 0.0000

Output
total moment	0.0	μB/cell
energy	-5.76	eV per atom
calculated formation energy	-15.80	eV per formula unit
crystal system	tetragonal
ρ	11.97	g cm⁻³